# 1
First-principles (PBE) data for a geometry-optimized PaBPO structure, as listed in OQMD via LeMat-Bulk.

Results
Total energy = -7.4848 eV/atom
Symmetry = P4/nmm
Calculated density = 8956 kg/m3

Cell and atoms, written as extended XYZ:
```
8
Lattice="3.940 0.000 0.000 0.000 3.940 0.000 0.000 0.000 6.897" Properties=species:S:1:pos:R:3 pbc="T T T"
B 0.000 0.000 3.449
B 1.970 1.970 3.449
O 0.000 0.000 0.000
O 1.970 1.970 0.000
P 1.970 0.000 2.750
P 0.000 1.970 4.147
Pa 0.000 1.970 1.359
Pa 1.970 0.000 5.539
```

# 2
First-principles (PBE) data for a geometry-optimized Pr3Ni structure, as listed in OQMD via LeMat-Bulk.

Results
Total energy = -4.7183 eV/atom
Symmetry = Fm-3m
Calculated density = 7392 kg/m3

Cell and atoms, written as extended XYZ:
```
4
Lattice="-1.195 -3.217 4.102 -4.193 1.104 3.130 -4.370 -3.076 -0.200" Properties=species:S:1:pos:R:3 pbc="T T T"
Ni -7.318 -3.892 5.274
Pr 0.000 0.000 0.000
Pr -2.439 -1.297 1.758
Pr -4.879 -2.594 3.516
```

# 3
First-principles (PBE) data for a geometry-optimized Sc2CuOs structure, as listed in OQMD via LeMat-Bulk.

Results
Total energy = -7.3091 eV/atom
Symmetry = I4/mmm
Calculated density = 8519 kg/m3

Cell and atoms, written as extended XYZ:
```
16
Lattice="-1.615 -5.376 -3.113 -1.845 -1.665 3.833 -8.039 3.720 -2.254" Properties=species:S:1:pos:R:3 pbc="T T T"
Cu -2.677 -3.984 -1.658
Cu -4.803 -1.198 1.250
Cu -6.696 -2.123 -2.785
Cu -8.822 0.663 0.124
Os -1.870 -1.295 -0.102
Os -5.610 -3.885 -0.306
Os -5.889 0.565 -1.229
Os -9.629 -2.025 -1.433
Sc -3.196 -3.472 1.036
Sc -2.389 -0.783 2.592
Sc -4.283 -1.709 -1.444
Sc -3.476 0.979 0.113
Sc -6.408 1.077 1.465
Sc -7.216 -1.611 -0.091
Sc -7.495 2.839 -1.014
Sc -8.302 0.151 -2.571
```

# 4
First-principles (PBE) data for a geometry-optimized RbU2Se6 structure, as listed in OQMD via LeMat-Bulk.

Results
Total energy = -6.0170 eV/atom
Symmetry = Immm
Calculated density = 6794 kg/m3

Cell and atoms, written as extended XYZ:
```
9
Lattice="4.034 0.000 0.000 0.000 5.570 0.000 -2.017 -2.785 11.262" Properties=species:S:1:pos:R:3 pbc="T T T"
Rb 0.000 2.785 0.000
Se 2.017 1.383 2.513
Se 2.017 4.188 2.513
Se 0.000 2.785 5.106
Se 2.017 0.000 6.156
Se 0.000 -1.402 8.749
Se 0.000 1.402 8.749
U 0.000 0.000 4.101
U 2.017 2.785 7.161
```

# 5
First-principles (PBE) data for a geometry-optimized Tb4AlNi2Ge4 structure, as listed in OQMD via LeMat-Bulk.

Results
Total energy = -5.4997 eV/atom
Symmetry = C2/m
Calculated density = 8187 kg/m3

Cell and atoms, written as extended XYZ:
```
11
Lattice="-2.024 6.769 3.695 0.003 4.427 6.632 6.051 1.114 -3.288" Properties=species:S:1:pos:R:3 pbc="T T T"
Al 0.000 0.000 0.000
Ge 1.231 2.570 1.201
Ge 0.116 10.852 8.578
Ge 3.915 1.458 -1.538
Ge 2.799 9.740 5.838
Ni 0.569 9.168 6.921
Ni 3.461 3.143 0.118
Tb -0.333 3.943 3.375
Tb 1.148 7.041 4.824
Tb 2.882 5.270 2.215
Tb 4.363 8.368 3.664
```

# 6
First-principles (PBE) data for a geometry-optimized La2ZnAg4Sn structure, as listed in OQMD via LeMat-Bulk.

Results
Total energy = -3.6429 eV/atom
Symmetry = P-3m1
Calculated density = 7798 kg/m3

Cell and atoms, written as extended XYZ:
```
8
Lattice="-2.908 -2.578 2.870 4.670 -1.175 -0.391 2.039 5.712 7.197" Properties=species:S:1:pos:R:3 pbc="T T T"
Ag -0.173 -1.527 2.519
Ag 0.483 0.311 4.834
Ag 3.318 1.648 4.842
Ag 3.974 3.485 7.158
La 2.650 -0.224 2.484
La 1.151 2.183 7.193
Sn 0.000 0.000 0.000
Zn 1.019 2.856 3.599
```

# 7
First-principles (PBE) data for a geometry-optimized BeBAsOs structure, as listed in OQMD via LeMat-Bulk.

Results
Total energy = -5.5297 eV/atom
Symmetry = F-43m
Calculated density = 9801 kg/m3

Cell and atoms, written as extended XYZ:
```
4
Lattice="3.635 0.030 1.869 0.445 -1.818 3.634 2.169 -3.451 0.307" Properties=species:S:1:pos:R:3 pbc="T T T"
As 1.562 -1.310 1.452
B 3.124 -2.619 2.905
Be 4.686 -3.929 4.357
Os 0.000 0.000 0.000
```

# 8
First-principles (PBE) data for a geometry-optimized Hf5B structure, as listed in OQMD via LeMat-Bulk.

Results
Total energy = -8.0246 eV/atom
Symmetry = P6/mmm
Calculated density = 10714 kg/m3

Cell and atoms, written as extended XYZ:
```
6
Lattice="-3.284 4.280 1.597 -2.295 -4.623 -2.239 -0.410 -2.053 4.659" Properties=species:S:1:pos:R:3 pbc="T T T"
B 0.000 0.000 0.000
Hf -2.954 1.312 0.318
Hf -2.625 -1.655 -0.960
Hf -1.847 1.114 3.128
Hf -1.353 -3.338 1.210
Hf -2.994 -1.198 2.008
```

# 9
First-principles (PBE) data for a geometry-optimized IrPd structure, as listed in OQMD via LeMat-Bulk.

Results
Total energy = -5.4551 eV/atom
Symmetry = F-43m
Calculated density = 11053 kg/m3

Cell and atoms, written as extended XYZ:
```
2
Lattice="0.783 -3.815 0.862 -2.681 -2.186 1.985 -1.977 -2.914 -1.873" Properties=species:S:1:pos:R:3 pbc="T T T"
Ir 0.000 0.000 0.000
Pd -0.969 -2.229 0.244
```

# 10
First-principles (PBE) data for a geometry-optimized ScUFe structure, as listed in OQMD via LeMat-Bulk.

Results
Total energy = -8.2453 eV/atom
Symmetry = F-43m
Calculated density = 9555 kg/m3

Cell and atoms, written as extended XYZ:
```
3
Lattice="-2.561 -3.537 0.051 -0.112 -2.564 3.533 -3.561 -0.081 2.527" Properties=species:S:1:pos:R:3 pbc="T T T"
Fe 0.000 0.000 0.000
Sc -4.675 -4.637 4.583
U -1.558 -1.546 1.528
```

# 11
First-principles (PBE) data for a geometry-optimized RbMgBiPt structure, as listed in OQMD via LeMat-Bulk.

Results
Total energy = -3.0022 eV/atom
Symmetry = F-43m
Calculated density = 8297 kg/m3

Cell and atoms, written as extended XYZ:
```
4
Lattice="0.000 3.718 3.718 3.718 0.000 3.718 3.718 3.718 0.000" Properties=species:S:1:pos:R:3 pbc="T T T"
Bi 0.000 0.000 0.000
Mg 5.578 5.578 5.578
Pt 1.859 1.859 1.859
Rb 3.718 3.718 3.718
```

# 12
First-principles (PBE) data for a geometry-optimized LaNdIr2 structure, as listed in OQMD via LeMat-Bulk.

Results
Total energy = -7.5003 eV/atom
Symmetry = Amm2
Calculated density = 11635 kg/m3

Cell and atoms, written as extended XYZ:
```
4
Lattice="-2.059 3.705 -0.169 0.861 0.741 5.775 3.945 2.360 3.675" Properties=species:S:1:pos:R:3 pbc="T T T"
Ir -0.652 2.096 0.659
Ir 4.425 2.856 8.702
La 3.096 1.998 6.088
Nd 0.682 2.957 3.282
```